PBE-GGA Nd4Ru2Pb, relaxed; DFT total energy = -6.129 eV/atom; V = 377.5 Å³ per cell; DOS at the Fermi energy = 10.036 states/eV per cell
1.0
7.254 0.000 0.000
-1.521 7.152 0.000
-2.130 -2.931 7.276
Nd Ru Pb
8 4 2
Direct
0.000 0.000 0.000
0.029 0.593 0.194
0.269 0.364 0.830
0.361 0.107 0.431
0.452 0.723 0.667
0.588 0.130 0.094
0.855 0.002 0.449
0.903 0.567 0.610
0.090 0.333 0.401
0.199 0.951 0.709
0.329 0.796 0.063
0.677 0.663 0.973
0.509 0.564 0.266
0.741 0.269 0.801